1.
Compound: Dy2TmBi
Source: the Alexandria database
Functional: PBE-GGA
Structure: optimized geometry

a b c (Å): 3.5198 3.5198 35.9190
angles (deg): 90.00 90.00 120.00
Space group R-3m (No. 166, hexagonal axes)
Symmetry-distinct sites (fractional):
Dy: 0.0000 0.0000 0.0881 (multiplicity 6)
Tm: 0.0000 0.0000 0.5000 (multiplicity 3)
Bi: 0.0000 0.0000 0.0000 (multiplicity 3)

The calculated formation energy comes out at 0.02 eV/atom. The value obtained for the total energy is -4.369 eV/atom. For the total magnetization, the calculation gives 0.00 μB per atom.

---

2.
Compound: DyTm2Bi
Source: the Alexandria database
Functional: PBE-GGA
Structure: optimized geometry

a b c (Å): 3.6227 3.6227 31.9895
angles (deg): 90.00 90.00 120.00
Space group R3m (No. 160, hexagonal axes)
Symmetry-distinct sites (fractional):
Dy: 0.0000 0.0000 0.0000 (multiplicity 3)
Tm: 0.0000 0.0000 0.5806 (multiplicity 3)
Tm: 0.0000 0.0000 0.7534 (multiplicity 3)
Bi: 0.0000 0.0000 0.1668 (multiplicity 3)

The calculated formation energy comes out at -0.18 eV/atom. The value obtained for the total energy is -4.535 eV/atom. For the total magnetization, the calculation gives 0.01 μB per atom.

---

3.
Compound: DyTmBi
Source: the Alexandria database
Functional: PBE-GGA
Structure: optimized geometry

a b c (Å): 4.015 4.015 10.794
angles (deg): 90.00 90.00 90.00
Space group I4mm (No. 107)
Symmetry-distinct sites (fractional):
Dy: 0.000 0.000 0.000 (multiplicity 2)
Tm: 0.000 0.000 0.315 (multiplicity 2)
Bi: 0.000 0.000 0.660 (multiplicity 2)

The calculated formation energy comes out at -0.44 eV/atom. The value obtained for the total energy is -4.758 eV/atom. For the total magnetization, the calculation gives 0.34 μB per atom.

---

4.
Compound: Dy4TmBi
Source: the Alexandria database
Functional: PBE-GGA
Structure: optimized geometry

a b c (Å): 5.190 5.190 7.783
angles (deg): 90.00 90.00 90.00
Space group P4/mmm (No. 123)
Symmetry-distinct sites (fractional):
Dy: 0.000 0.500 0.242 (multiplicity 4)
Tm: 0.000 0.000 0.000 (multiplicity 1)
Bi: 0.500 0.500 0.500 (multiplicity 1)

The calculated formation energy comes out at 0.21 eV/atom. The value obtained for the total energy is -4.251 eV/atom. For the total magnetization, the calculation gives 0.00 μB per atom.

---

5.
Compound: Dy3Tm4Bi4
Source: the Alexandria database
Functional: PBE-GGA
Structure: optimized geometry

a b c (Å): 9.866 4.320 15.653
angles (deg): 90.00 90.00 90.00
Space group Amm2 (No. 38)
Symmetry-distinct sites (fractional):
Dy: 0.000 0.000 0.000 (multiplicity 2)
Dy: 0.268 0.000 0.144 (multiplicity 4)
Tm: 0.000 0.000 0.325 (multiplicity 2)
Tm: 0.247 0.000 0.830 (multiplicity 4)
Tm: 0.500 0.000 0.347 (multiplicity 2)
Bi: 0.000 0.000 0.671 (multiplicity 2)
Bi: 0.249 0.000 0.481 (multiplicity 4)
Bi: 0.500 0.000 0.691 (multiplicity 2)

The calculated formation energy comes out at -0.46 eV/atom. The value obtained for the total energy is -4.750 eV/atom. For the total magnetization, the calculation gives 0.10 μB per atom.

---

6.
Compound: Dy3TmBi3
Source: the Alexandria database
Functional: PBE-GGA
Structure: optimized geometry

a b c (Å): 9.358 9.358 9.358
angles (deg): 90.00 90.00 90.00
Space group P2_13 (No. 198)
Symmetry-distinct sites (fractional):
Dy: 0.072 0.428 0.572 (multiplicity 4)
Dy: 0.176 0.824 0.324 (multiplicity 4)
Dy: 0.177 0.177 0.177 (multiplicity 4)
Tm: 0.074 0.574 0.926 (multiplicity 4)
Bi: 0.001 0.252 0.874 (multiplicity 12)

The calculated formation energy comes out at -0.70 eV/atom. The value obtained for the total energy is -4.978 eV/atom. For the total magnetization, the calculation gives 0.00 μB per atom.